An optimized crystal structure of Li3MgGe, computed with GGA-PBE.

Unit cell a=4.863 b=4.863 c=4.863 alpha=90.00 beta=90.00 gamma=90.00
Sites, in units of the cell vectors:
Li: 0.000 0.000 0.500
Li: 0.000 0.500 0.000
Li: 0.500 0.000 0.000
Mg: 0.000 0.000 0.000
Ge: 0.500 0.500 0.500

Computed properties:
- Density of states at the Fermi level: 2.15 states/eV/cell
- E: -0.0682 Ha/atom
- ΔE to the lowest computed polymorph: 79.16 kJ/mol of atoms
- Space-group type: No. 221

=====

An optimized crystal structure of LiMgGe2, computed with GGA-PBE.

Unit cell a=7.463 b=7.463 c=5.553 alpha=90.00 beta=90.00 gamma=90.00
Sites, in units of the cell vectors:
Li: 0.000 0.000 0.000
Li: 0.000 0.500 0.250
Li: 0.500 0.000 0.750
Li: 0.500 0.500 0.500
Mg: 0.000 0.000 0.500
Mg: 0.000 0.500 0.750
Mg: 0.500 0.000 0.250
Mg: 0.500 0.500 0.000
Ge: 0.237 0.750 0.125
Ge: 0.250 0.237 0.875
Ge: 0.250 0.263 0.375
Ge: 0.263 0.750 0.625
Ge: 0.737 0.250 0.625
Ge: 0.750 0.737 0.375
Ge: 0.750 0.763 0.875
Ge: 0.763 0.250 0.125

Computed properties:
- Density of states at the Fermi level: 8.02 states/eV/cell
- E: -0.1136 Ha/atom
- Space-group type: No. 122